Density functional theory data (GGA-PBE) for a relaxed structure of PaSi4Os2.

a b c (Å): 4.195 6.384 16.671
angles (deg): 90.00 90.00 90.00
Sites, in units of the cell vectors:
Pa (0.750, 0.001, 0.638)
Pa (0.250, 0.999, 0.362)
Pa (0.250, 0.501, 0.862)
Pa (0.750, 0.499, 0.138)
Si (0.250, 0.280, 0.692)
Si (0.750, 0.720, 0.308)
Si (0.750, 0.780, 0.808)
Si (0.250, 0.220, 0.192)
Si (0.250, 0.683, 0.683)
Si (0.750, 0.317, 0.317)
Si (0.750, 0.183, 0.817)
Si (0.250, 0.817, 0.183)
Si (0.250, 0.148, 0.534)
Si (0.750, 0.852, 0.466)
Si (0.750, 0.648, 0.966)
Si (0.250, 0.352, 0.034)
Si (0.250, 0.471, 0.432)
Si (0.750, 0.529, 0.568)
Si (0.750, 0.971, 0.068)
Si (0.250, 0.029, 0.932)
Os (0.250, 0.753, 0.534)
Os (0.750, 0.247, 0.466)
Os (0.750, 0.253, 0.966)
Os (0.250, 0.747, 0.034)
Os (0.250, 0.977, 0.785)
Os (0.750, 0.023, 0.215)
Os (0.750, 0.477, 0.715)
Os (0.250, 0.523, 0.285)

Summary:
Its energy relative to the elements, uncorrected is -0.515 eV per atom. As for the calculated density: 10.768 g/cm³.